Li2Mn7F18: relaxed, PBE+U.

Calculated values
* DFT total energy: -5.9296 eV per atom

abc: 7.2169 7.6606 7.8847
angles: 97.32 92.93 117.57
Space group P-1 (No. 2)
Unique sites:
Li 0.1423 0.1688 0.4551
Mn 0.1197 0.7365 0.1327
Mn 0.2754 0.1104 0.8233
Mn 0.3135 0.6081 0.7883
Mn 0.5000 0.0000 0.5000
F 0.0278 0.4666 0.6865
F 0.0463 0.9678 0.2055
F 0.1819 0.9582 0.5471
F 0.1887 0.4915 0.9904
F 0.2323 0.8392 0.9012
F 0.3141 0.3430 0.6831
F 0.4221 0.2639 0.0740
F 0.4241 0.8494 0.2489
F 0.4362 0.7400 0.6020

LiMn2F8: relaxed, PBE+U.

Calculated values
* DFT total energy: -5.2705 eV per atom

abc: 4.7785 5.5402 5.7223
angles: 67.00 85.07 87.93
Space group P-1 (No. 2)
Unique sites:
Li 0.0000 0.0000 0.0000
Mn 0.5000 0.0000 0.5000
Mn 0.5000 0.5000 0.0000
F 0.2167 0.1181 0.6605
F 0.2273 0.6614 0.1266
F 0.2991 0.1848 0.1384
F 0.3447 0.6349 0.6831

LiMnMoF6: relaxed, PBE+U.

Calculated values
* DFT total energy: -5.4107 eV per atom

abc: 5.4349 5.4349 8.9588
angles: 90.00 90.00 120.00
Space group P-31c (No. 163)
Unique sites:
Li 0.0000 0.0000 0.0000
Mn 0.3333 0.6667 0.2500
Mo 0.3333 0.6667 0.7500
F 0.0026 0.3381 0.1296

LiMnNF2: relaxed, PBE+U.

Calculated values
* polymorph energy (0 for the lowest one): 0 meV/atom

abc: 4.1434 4.1434 3.7313
angles: 90.00 90.00 90.00
Space group P4/mmm (No. 123)
Unique sites:
Li 0.0000 0.0000 0.0000
Mn 0.5000 0.5000 0.5000
N 0.5000 0.5000 0.0000
F 0.0000 0.5000 0.5000

LiMnNF2: relaxed, PBE+U.

Calculated values
* polymorph energy (0 for the lowest one): 383 meV/atom

abc: 3.5295 3.5295 4.1454
angles: 90.00 90.00 90.00
Space group P4/mmm (No. 123)
Unique sites:
Li 0.0000 0.0000 0.0000
Mn 0.5000 0.5000 0.5000
N 0.0000 0.0000 0.5000
F 0.0000 0.5000 0.0000

NaLi2MnF6: relaxed, PBE+U.

Calculated values
* DFT total energy: -4.6493 eV per atom

abc: 8.0819 8.0819 8.0819
angles: 90.00 90.00 90.00
Space group Fm-3m (No. 225)
Unique sites:
Na 0.0000 0.0000 0.0000
Li 0.2500 0.2500 0.2500
Mn 0.0000 0.0000 0.5000
F 0.0000 0.0000 0.2658

Summary of size of the total moment in μB per atom
1.2222; 0.6364; 0.4445; 0.6000; 1.0000; 0.1996
(order as listed above)